Ce8Os3Br4Cl GGA-PBE relaxed; magnetization = 6.878 μB per formula unit; ΔE_f (raw) = -875 meV per atom
1.0
-3.384 2.287 7.083
-7.883 0.811 -4.028
3.793 -7.222 -0.575
Ce Cl Os Br
8 1 3 4
Cartesian
-2.711 -5.844 -1.690
-3.127 0.614 0.745
-2.929 -1.773 3.892
-6.195 -1.110 2.118
-4.763 1.720 4.170
-1.279 -3.014 0.362
-4.545 -2.351 -1.413
-4.347 -4.739 1.734
-3.941 0.406 -2.014
-5.633 1.549 1.527
-2.045 -3.206 -2.302
-3.737 -2.062 1.240
1.896 -3.611 -0.288
-1.692 1.143 3.542
0.204 -2.468 3.254
0.000 0.000 0.000